Record 1
Density functional theory data (PBE) for crystalline BePbCl at its relaxed geometry. Values from VASP.

Summary:
Crystal system: cubic

```
&SYSTEM
  ibrav = 0, nat = 3, ntyp = 3
/
ATOMIC_SPECIES
Cl 35.45 Cl.upf
Pb 207.20 Pb.upf
Be 9.01 Be.upf
CELL_PARAMETERS angstrom
4.9436 0.0000 0.0000
2.4718 4.2813 0.0000
2.4718 1.4271 4.0364
ATOMIC_POSITIONS crystal
Cl 0.5000 0.5000 0.5000
Pb 0.7500 0.7500 0.7500
Be 0.0000 0.0000 0.0000
```

Record 2
Density functional theory data (PBE) for crystalline Be3PbCl at its relaxed geometry. Values from VASP.

Summary:
Crystal system: cubic

```
&SYSTEM
  ibrav = 0, nat = 5, ntyp = 3
/
ATOMIC_SPECIES
Cl 35.45 Cl.upf
Be 9.01 Be.upf
Pb 207.20 Pb.upf
CELL_PARAMETERS angstrom
-1.1413 -3.7663 -1.8970
2.9335 -2.1209 2.4460
-3.0296 -0.6348 3.0830
ATOMIC_POSITIONS crystal
Cl 0.0000 0.0000 0.0000
Be 0.0000 0.0000 0.5000
Be 0.0000 0.5000 0.0000
Be 0.5000 0.0000 0.0000
Pb 0.5000 0.5000 0.5000
```

Record 3
Density functional theory data (PBE) for crystalline BePbCl at its relaxed geometry. Values from VASP.

Summary:
Crystal system: orthorhombic

```
&SYSTEM
  ibrav = 0, nat = 3, ntyp = 3
/
ATOMIC_SPECIES
Pb 207.20 Pb.upf
Cl 35.45 Cl.upf
Be 9.01 Be.upf
CELL_PARAMETERS angstrom
8.5536 0.2170 -0.1134
7.3061 3.5238 -0.0453
1.2475 -1.8316 2.7541
ATOMIC_POSITIONS crystal
Pb 0.3751 0.3751 0.6249
Cl 0.6036 0.6036 0.3964
Be 0.0213 0.0213 0.9787
```

Record 4
Density functional theory data (PBE) for crystalline BePb2Cl at its relaxed geometry. Values from VASP.

Summary:
Crystal system: monoclinic

```
&SYSTEM
  ibrav = 0, nat = 4, ntyp = 3
/
ATOMIC_SPECIES
Cl 35.45 Cl.upf
Pb 207.20 Pb.upf
Be 9.01 Be.upf
CELL_PARAMETERS angstrom
-1.1377 -5.9663 0.3310
4.0022 -1.4178 4.3558
-1.4467 -0.9119 2.8781
ATOMIC_POSITIONS crystal
Cl 0.0000 0.5000 0.5000
Pb 0.0000 0.0000 0.0000
Pb 0.5000 0.5000 0.0000
Be 0.5000 0.0000 0.5000
```

Record 5
Density functional theory data (PBE) for crystalline BePbCl2 at its relaxed geometry. Values from VASP.

Summary:
Crystal system: tetragonal

```
&SYSTEM
  ibrav = 0, nat = 4, ntyp = 3
/
ATOMIC_SPECIES
Pb 207.20 Pb.upf
Be 9.01 Be.upf
Cl 35.45 Cl.upf
CELL_PARAMETERS angstrom
-2.2327 2.2320 -0.5864
-0.8764 -1.5749 -2.6575
-7.0326 -5.5597 5.6139
ATOMIC_POSITIONS crystal
Pb 0.0000 0.0000 0.4758
Be 0.5000 0.5000 0.9770
Cl 0.5000 0.5000 0.1497
Cl 0.0000 0.0000 0.8974
```

Record 6
Density functional theory data (PBE) for crystalline BePbCl2 at its relaxed geometry. Values from VASP.

Summary:
Crystal system: tetragonal

```
&SYSTEM
  ibrav = 0, nat = 8, ntyp = 3
/
ATOMIC_SPECIES
Be 9.01 Be.upf
Cl 35.45 Cl.upf
Pb 207.20 Pb.upf
CELL_PARAMETERS angstrom
6.5597 0.0000 0.0000
0.0000 6.5597 0.0000
3.2799 3.2799 4.5990
ATOMIC_POSITIONS crystal
Be 0.5000 0.5000 0.0000
Be 0.2500 0.7500 0.5000
Cl 0.3750 0.5800 0.7500
Cl 0.3300 0.6250 0.2500
Cl 0.8750 0.6700 0.7500
Cl 0.4200 0.1250 0.2500
Pb 0.7500 0.2500 0.5000
Pb 0.0000 0.0000 0.0000
```

| no. | formation energy without anion corrections (kcal/mol of atoms) | size of the total moment (μB per formula unit) |
| --- | --- | --- |
| 1 | 13.20 | 0.00 |
| 2 | 24.87 | 0.00 |
| 3 | -4.29 | 0.00 |
| 4 | 3.51 | 0.00 |
| 5 | -11.69 | 0.00 |
| 6 | -10.53 | 0.00 |